RbCoCl3 (PBE, relaxed); uncorrected formation energy = -1.145 eV/atom; calculated total energy = -3.87 eV/atom; V = 35.1 Å³ per atom
1.0
-6.1337 3.5939 -0.8578
1.0109 -0.2826 -8.4128
-6.3202 -9.8470 3.9371
Cl Rb Co
12 4 4
direct
0.5268 0.9963 0.1356
0.8925 0.2506 0.0327
0.3925 0.7494 0.4673
0.4732 0.0037 0.8644
0.0268 0.0037 0.3644
0.6075 0.2506 0.5327
0.1075 0.7494 0.9673
0.9732 0.9963 0.6356
0.5798 0.5912 0.8844
0.9202 0.5912 0.3844
0.0798 0.4088 0.6156
0.4202 0.4088 0.1156
0.7938 0.6673 0.1480
0.2938 0.3327 0.3520
0.2062 0.3327 0.8520
0.7062 0.6673 0.6480
0.4024 0.8200 0.9613
0.5976 0.1800 0.0387
0.9024 0.1800 0.5387
0.0976 0.8200 0.4613